# 1
Here is a relaxed Pm2In2SnHg4 crystal from the Alexandria database. Energies are from PBE-GGA.

Cell: 7.2435 7.2435 7.2435 Å, 87.95 121.19 121.19°
Element x y z (fractional)
1 Pm 0.0000 0.7084 0.7084
2 Pm 0.0000 0.2916 0.2916
3 In 0.5000 0.7500 0.2500
4 In 0.5000 0.2500 0.7500
5 Sn 0.0000 0.0000 0.0000
6 Hg 0.0000 0.7238 0.2762
7 Hg 0.4476 0.7238 0.7238
8 Hg 0.0000 0.2762 0.7238
9 Hg 0.5524 0.2762 0.2762

Computed properties:
Formation energy from the elements in eV/atom: -0.155
Density of states at the Fermi level in states/eV per cell: 3.6
Calculated density in Mg/m³: 9.07
Total DFT energy (no corrections) in eV per atom: -2.40

=====

# 2
Here is a relaxed SrPmInHg crystal from the Alexandria database. Energies are from PBE-GGA.

Cell: 3.8760 3.8760 8.0974 Å, 90.00 90.00 90.00°
Element x y z (fractional)
1 Sr 0.0000 0.0000 0.8519
2 Pm 0.0000 0.0000 0.3629
3 In 0.5000 0.5000 0.1275
4 Hg 0.5000 0.5000 0.5856

Computed properties:
Formation energy from the elements in eV/atom: -0.486
Density of states at the Fermi level in states/eV per cell: 2.5
Calculated density in Mg/m³: 7.48
Total DFT energy (no corrections) in eV per atom: -2.85

=====

# 3
Here is a relaxed SrPmInHg crystal from the Alexandria database. Energies are from PBE-GGA.

Cell: 5.5651 5.5651 5.5651 Å, 60.00 60.00 60.00°
Element x y z (fractional)
1 Sr 0.7500 0.7500 0.7500
2 In 0.0000 0.0000 0.0000
3 Hg 0.5000 0.5000 0.5000
4 Pm 0.2500 0.2500 0.2500

Computed properties:
Formation energy from the elements in eV/atom: -0.454
Density of states at the Fermi level in states/eV per cell: 2.5
Calculated density in Mg/m³: 7.47
Total DFT energy (no corrections) in eV per atom: -2.82

=====

# 4
Here is a relaxed TbPm2In2Hg2 crystal from the Alexandria database. Energies are from PBE-GGA.

Cell: 4.9131 4.9131 9.7848 Å, 75.46 75.46 60.00°
Element x y z (fractional)
1 Tb 0.0000 0.0000 0.0000
2 Pm 0.1276 0.1276 0.6171
3 Pm 0.8724 0.8724 0.3829
4 In 0.7412 0.7412 0.7765
5 In 0.2588 0.2588 0.2235
6 Hg 0.6116 0.6116 0.1652
7 Hg 0.3884 0.3884 0.8348

Computed properties:
Formation energy from the elements in eV/atom: -0.302
Density of states at the Fermi level in states/eV per cell: 4.2
Calculated density in Mg/m³: 9.16
Total DFT energy (no corrections) in eV per atom: -3.19

=====

# 5
Here is a relaxed TbPm2In3Hg6 crystal from the Alexandria database. Energies are from PBE-GGA.

Cell: 4.2800 4.2800 20.3452 Å, 90.00 90.00 90.00°
Element x y z (fractional)
1 Tb 0.5000 0.5000 0.5000
2 Pm 0.5000 0.5000 0.2183
3 Pm 0.5000 0.5000 0.7817
4 In 0.0000 0.0000 0.2803
5 In 0.0000 0.0000 0.7197
6 In 0.0000 0.0000 0.0000
7 Hg 0.0000 0.5000 0.6124
8 Hg 0.5000 0.0000 0.3876
9 Hg 0.5000 0.0000 0.6124
10 Hg 0.0000 0.0000 0.1371
11 Hg 0.0000 0.5000 0.3876
12 Hg 0.0000 0.0000 0.8629

Computed properties:
Formation energy from the elements in eV/atom: -0.085
Density of states at the Fermi level in states/eV per cell: 8.5
Calculated density in Mg/m³: 8.90
Total DFT energy (no corrections) in eV per atom: -2.10

=====

# 6
Here is a relaxed PmIn2HgTe4 crystal from the Alexandria database. Energies are from PBE-GGA.

Cell: 4.4011 7.9091 8.0075 Å, 69.73 90.00 90.00°
Element x y z (fractional)
1 Pm 0.0000 0.5000 0.5000
2 In 0.0000 0.0000 0.0000
3 In 0.5000 0.0000 0.5000
4 Hg 0.5000 0.5000 0.0000
5 Te 0.0000 0.7538 0.7392
6 Te 0.0000 0.2462 0.2608
7 Te 0.5000 0.7501 0.2646
8 Te 0.5000 0.2499 0.7354

Computed properties:
Density of states at the Fermi level in states/eV per cell: 2.5
Raw formation energy in eV/atom: -0.54
Calculated density in Mg/m³: 6.89
Total DFT energy (no corrections) in eV per atom: -3.43

=====

# 7
Here is a relaxed Pm2ThIn2Hg2 crystal from the Alexandria database. Energies are from PBE-GGA.

Cell: 4.9855 4.9855 9.5472 Å, 74.86 74.86 60.00°
Element x y z (fractional)
1 Pm 0.1304 0.1304 0.6088
2 Pm 0.8696 0.8696 0.3912
3 Th 0.0000 0.0000 0.0000
4 In 0.7295 0.7295 0.8115
5 In 0.2705 0.2705 0.1885
6 Hg 0.5795 0.5795 0.2616
7 Hg 0.4205 0.4205 0.7384

Computed properties:
Formation energy from the elements in eV/atom: -0.218
Density of states at the Fermi level in states/eV per cell: 4.7
Calculated density in Mg/m³: 9.77
Total DFT energy (no corrections) in eV per atom: -3.50

=====

# 8
Here is a relaxed PmThInHg crystal from the Alexandria database. Energies are from PBE-GGA.

Cell: 3.5459 3.5459 8.8671 Å, 90.00 90.00 90.00°
Element x y z (fractional)
1 Pm 0.0000 0.0000 0.3530
2 Th 0.0000 0.0000 0.8602
3 In 0.5000 0.5000 0.6025
4 Hg 0.5000 0.5000 0.1122

Computed properties:
Formation energy from the elements in eV/atom: -0.370
Density of states at the Fermi level in states/eV per cell: 4.0
Calculated density in Mg/m³: 10.31
Total DFT energy (no corrections) in eV per atom: -4.17